(1)
A plane-wave DFT calculation with GGA-PBE was carried out for a geometry-optimized Tb5Pm3Sc structure.

Results
Total magnetic moment (Bohr magnetons per cell): 0.000
E_form (eV/f.u.): 2.50
DOS at the Fermi energy (states/eV/atom): 1.3428
Total DFT energy (no corrections) (eV/atom): -4.581

abc: 9.8866 9.8866 9.8866
angles: 128.15 128.15 76.38
With the nearest neighbours (Å) after each atom.
Fractional coordinates of all 18 atoms:
Tb: 0.0000 0.0000 0.0000  4 Pm 3.45, 8 Tb 3.79
Tb: 0.0662 0.5662 0.9134  1 Sc 3.05, 1 Pm 3.05
Tb: 0.1528 0.0662 0.5000  1 Sc 3.05, 1 Pm 3.05
Tb: 0.3472 0.8472 0.9134  1 Sc 3.05, 1 Pm 3.05
Tb: 0.4338 0.3472 0.5000  1 Sc 3.05, 1 Pm 3.05
Tb: 0.5000 0.5000 0.0000  4 Pm 3.45, 8 Tb 3.79
Tb: 0.5662 0.6528 0.5000  1 Sc 3.05, 1 Pm 3.05
Tb: 0.6528 0.1528 0.0866  1 Sc 3.05, 1 Pm 3.05
Tb: 0.8472 0.9338 0.5000  1 Sc 3.05, 1 Pm 3.05
Tb: 0.9338 0.4338 0.0866  1 Sc 3.05, 1 Pm 3.05
Pm: 0.1189 0.3811 0.5000  1 Pm 2.91, 2 Tb 3.05
Pm: 0.2500 0.2500 0.0000  10 Tb 3.54-3.89
Pm: 0.3811 0.8811 0.2621  1 Pm 2.91, 2 Tb 3.05
Pm: 0.6189 0.1189 0.7379  1 Pm 2.91, 2 Tb 3.05
Pm: 0.7500 0.7500 0.0000  10 Tb 3.54-3.89
Pm: 0.8811 0.6189 0.5000  1 Pm 2.91, 2 Tb 3.05
Sc: 0.2500 0.7500 0.5000  4 Tb 3.05
Sc: 0.7500 0.2500 0.5000  4 Tb 3.05



(2)
A plane-wave DFT calculation with GGA-PBE was carried out for a geometry-optimized Re2SiAu structure.

Results
Total magnetic moment (Bohr magnetons per cell): 0.000
DOS at the Fermi energy (states/eV/atom): 0.7700
Formation energy (no corrections) (meV/atom): 552
Total DFT energy (no corrections) (eV/atom): -7.848

abc: 5.4266 5.4266 2.8092
angles: 104.32 104.32 119.99
With the nearest neighbours (Å) after each atom.
Fractional coordinates of all 4 atoms:
Re: 0.0000 0.5000 0.0000  6 Re 2.71-2.81, 2 Si 2.73, 2 Au 2.73
Re: 0.5000 0.0000 0.0000  6 Re 2.71-2.81, 2 Si 2.73, 2 Au 2.73
Si: 0.0000 0.0000 0.5000  4 Au 2.71-2.78, 4 Re 2.73, 2 Si 2.81
Au: 0.5000 0.5000 0.5000  4 Si 2.71-2.78, 4 Re 2.73, 2 Au 2.81



(3)
A plane-wave DFT calculation with GGA-PBE was carried out for a geometry-optimized Cd3PCl structure.

Results
Total magnetic moment (Bohr magnetons per cell): 0.000
DOS at the Fermi energy (states/eV/atom): 0.2228
Formation energy (no corrections) (meV/atom): -69
Total DFT energy (no corrections) (eV/atom): -2.069

abc: 5.2448 5.2448 5.2448
angles: 90.00 90.00 90.00
With the nearest neighbours (Å) after each atom.
Fractional coordinates of all 5 atoms:
Cd: 0.0000 0.0000 0.5000  2 P 2.62
Cd: 0.0000 0.5000 0.0000  2 P 2.62
Cd: 0.5000 0.0000 0.0000  2 P 2.62
P: 0.0000 0.0000 0.0000  6 Cd 2.62
Cl: 0.5000 0.5000 0.5000  12 Cd 3.71



(4)
A plane-wave DFT calculation with GGA-PBE was carried out for a geometry-optimized BaMo2As structure.

Results
Total magnetic moment (Bohr magnetons per cell): 0.829
E_form (eV/f.u.): 0.47
DOS at the Fermi energy (states/eV/atom): 0.8672
Total DFT energy (no corrections) (eV/atom): -6.942

abc: 6.6089 6.6089 6.6089
angles: 38.91 38.91 38.91
With the nearest neighbours (Å) after each atom.
Fractional coordinates of all 4 atoms:
Ba: 0.0000 0.0000 0.0000  7 Mo 3.52-3.88, 4 As 3.56-3.59
Mo: 0.4936 0.4936 0.4936  3 Mo 2.59, 3 As 2.62
Mo: 0.8000 0.8000 0.8000  3 Mo 2.59, 3 As 2.78
As: 0.1945 0.1945 0.1945  6 Mo 2.62-2.78



(5)
A plane-wave DFT calculation with GGA-PBE was carried out for a geometry-optimized KZrAl2 structure.

Results
Total magnetic moment (Bohr magnetons per cell): 0.000
E_form (eV/f.u.): 1.75
DOS at the Fermi energy (states/eV/atom): 0.5612
Total DFT energy (no corrections) (eV/atom): -3.845

abc: 5.7023 2.8551 6.0849
angles: 90.00 102.08 90.00
With the nearest neighbours (Å) after each atom.
Fractional coordinates of all 4 atoms:
K: 0.0000 0.0000 0.0000  2 K 2.86, 6 Al 3.04-3.19
Zr: 0.5000 0.5000 0.5000  2 Zr 2.86, 6 Al 3.04-3.19
Al: 0.0000 0.0000 0.5000  2 Al 2.86, 2 K 3.04, 4 Zr 3.19
Al: 0.5000 0.5000 0.0000  2 Al 2.86, 2 Zr 3.04, 4 K 3.19



(6)
A plane-wave DFT calculation with GGA-PBE was carried out for a geometry-optimized CaNp3Tl3Te8 structure.

Results
Total magnetic moment (Bohr magnetons per cell): 9.999
DOS at the Fermi energy (states/eV/atom): 1.9523
Formation energy (no corrections) (meV/atom): -668
Total DFT energy (no corrections) (eV/atom): -5.539

abc: 9.6320 9.6320 9.6320
angles: 55.02 55.02 55.02
With the nearest neighbours (Å) after each atom.
Fractional coordinates of all 15 atoms:
Ca: 0.0000 0.0000 0.0000  6 Te 3.20
Np: 0.0000 0.5000 0.5000  6 Te 3.06-3.10
Np: 0.5000 0.0000 0.5000  6 Te 3.06-3.10
Np: 0.5000 0.5000 0.0000  6 Te 3.06-3.10
Tl: 0.0000 0.0000 0.5000  6 Te 3.47-3.51
Tl: 0.0000 0.5000 0.0000  6 Te 3.47-3.51
Tl: 0.5000 0.0000 0.0000  6 Te 3.47-3.51
Te: 0.2452 0.2452 0.7236  2 Np 3.06, 1 Ca 3.20
Te: 0.2452 0.7236 0.2452  2 Np 3.06, 1 Ca 3.20
Te: 0.2620 0.2620 0.2620  3 Np 3.10, 3 Tl 3.47
Te: 0.2764 0.7548 0.7548  2 Np 3.06, 1 Ca 3.20
Te: 0.7236 0.2452 0.2452  2 Np 3.06, 1 Ca 3.20
Te: 0.7380 0.7380 0.7380  3 Np 3.10, 3 Tl 3.47
Te: 0.7548 0.2764 0.7548  2 Np 3.06, 1 Ca 3.20
Te: 0.7548 0.7548 0.2764  2 Np 3.06, 1 Ca 3.20